Record 1
# Li3HoSb2, single point on PBEsol structure, DFT SCAN
# **Crystal system**: trigonal
# **Formation energy without anion corrections**: -0.868 eV/atom
# **Raw total energy**: -22.647 eV per atom
# **V**: 20.378 A^3/atom
data_Li3HoSb2
_symmetry_space_group_name_H-M 'P -3 m 1'
_symmetry_Int_Tables_number 164
_symmetry_space_group_name_Hall '-P 3 2"'
_cell_length_a 4.4847
_cell_length_b 4.4847
_cell_length_c 7.0198
_cell_angle_alpha 90.00
_cell_angle_beta 90.00
_cell_angle_gamma 120.00
loop_
_atom_site_label
_atom_site_type_symbol
_atom_site_fract_x
_atom_site_fract_y
_atom_site_fract_z
Li1 Li 0.0000 0.0000 0.0000
Li2 Li 0.3333 0.6667 0.1520
Ho1 Ho 0.0000 0.0000 0.5000
Sb1 Sb 0.3333 0.6667 0.7463

=====

Record 2
# LiHoSn, single point on PBEsol structure, DFT SCAN
# **Crystal system**: hexagonal
# **Raw total energy**: -29.815 eV per atom
# **V**: 22.013 A^3/atom
# **Energy relative to the elements**: -0.716 eV/atom
data_LiHoSn
_symmetry_space_group_name_H-M 'P 63 m c'
_symmetry_Int_Tables_number 186
_symmetry_space_group_name_Hall 'P 6c -2c'
_cell_length_a 9.2339
_cell_length_b 9.2339
_cell_length_c 7.1546
_cell_angle_alpha 90.00
_cell_angle_beta 90.00
_cell_angle_gamma 120.00
loop_
_atom_site_label
_atom_site_type_symbol
_atom_site_fract_x
_atom_site_fract_y
_atom_site_fract_z
Li1 Li 0.1668 0.3336 0.0000
Li2 Li 0.3333 0.6667 0.6035
Ho1 Ho 0.0000 0.0000 0.2869
Ho2 Ho 0.0213 0.5107 0.2911
Sn1 Sn 0.1666 0.3333 0.5545
Sn2 Sn 0.3333 0.6667 0.0249

=====

Record 3
# LiHo2Tc, single point on PBEsol structure, DFT SCAN
# **Crystal system**: cubic
# **Raw total energy**: -33.939 eV per atom
# **V**: 19.877 A^3/atom
# **Energy relative to the elements**: -0.083 eV/atom
data_LiHo2Tc
_symmetry_space_group_name_H-M 'F m -3 m'
_symmetry_Int_Tables_number 225
_symmetry_space_group_name_Hall '-F 4 2 3'
_cell_length_a 6.826
_cell_length_b 6.826
_cell_length_c 6.826
_cell_angle_alpha 90.00
_cell_angle_beta 90.00
_cell_angle_gamma 90.00
loop_
_atom_site_label
_atom_site_type_symbol
_atom_site_fract_x
_atom_site_fract_y
_atom_site_fract_z
Li1 Li 0.000 0.000 0.000
Ho1 Ho 0.250 0.250 0.250
Tc1 Tc 0.000 0.000 0.500

=====

Record 4
# LiHoTl2, single point on PBEsol structure, DFT SCAN
# **Crystal system**: cubic
# **Raw total energy**: -49.501 eV per atom
# **V**: 23.141 A^3/atom
# **Energy relative to the elements**: -0.478 eV/atom
data_LiHoTl2
_symmetry_space_group_name_H-M 'F m -3 m'
_symmetry_Int_Tables_number 225
_symmetry_space_group_name_Hall '-F 4 2 3'
_cell_length_a 7.181
_cell_length_b 7.181
_cell_length_c 7.181
_cell_angle_alpha 90.00
_cell_angle_beta 90.00
_cell_angle_gamma 90.00
loop_
_atom_site_label
_atom_site_type_symbol
_atom_site_fract_x
_atom_site_fract_y
_atom_site_fract_z
Li1 Li 0.000 0.000 0.000
Ho1 Ho 0.000 0.000 0.500
Tl1 Tl 0.250 0.250 0.250

=====

Record 5
# HoLu3, single point on PBEsol structure, DFT SCAN
# **Crystal system**: hexagonal
# **Raw total energy**: -53.757 eV per atom
# **V**: 28.143 A^3/atom
# **Energy relative to the elements**: -0.001 eV/atom
data_HoLu3
_symmetry_space_group_name_H-M 'P 63/m m c'
_symmetry_Int_Tables_number 194
_symmetry_space_group_name_Hall '-P 6c 2c'
_cell_length_a 6.9442
_cell_length_b 6.9442
_cell_length_c 5.3911
_cell_angle_alpha 90.00
_cell_angle_beta 90.00
_cell_angle_gamma 120.00
loop_
_atom_site_label
_atom_site_type_symbol
_atom_site_fract_x
_atom_site_fract_y
_atom_site_fract_z
Ho1 Ho 0.3333 0.6667 0.2500
Lu1 Lu 0.1662 0.3324 0.7500

=====

Record 6
# Ho3Lu, single point on PBEsol structure, DFT SCAN
# **Crystal system**: hexagonal
# **Raw total energy**: -50.574 eV per atom
# **V**: 29.010 A^3/atom
# **Energy relative to the elements**: 0.003 eV/atom
data_Ho3Lu
_symmetry_space_group_name_H-M 'P 63/m m c'
_symmetry_Int_Tables_number 194
_symmetry_space_group_name_Hall '-P 6c 2c'
_cell_length_a 7.0101
_cell_length_b 7.0101
_cell_length_c 5.4533
_cell_angle_alpha 90.00
_cell_angle_beta 90.00
_cell_angle_gamma 120.00
loop_
_atom_site_label
_atom_site_type_symbol
_atom_site_fract_x
_atom_site_fract_y
_atom_site_fract_z
Ho1 Ho 0.1670 0.3341 0.2500
Lu1 Lu 0.3333 0.6667 0.7500

=====

Record 7
# HoLuO3, single point on PBEsol structure, DFT SCAN
# **Crystal system**: orthorhombic
# **Formation energy without anion corrections**: -3.941 eV/atom
# **Raw total energy**: -28.546 eV per atom
# **V**: 12.956 A^3/atom
data_HoLuO3
_symmetry_space_group_name_H-M 'P n m a'
_symmetry_Int_Tables_number 62
_cell_length_a 5.785
_cell_length_b 8.137
_cell_length_c 5.505
_cell_angle_alpha 90.00
_cell_angle_beta 90.00
_cell_angle_gamma 90.00
loop_
_symmetry_equiv_pos_as_xyz
'x,y,z'
'-x,-y,-z'
'-x+1/2,-y,z+1/2'
'x+1/2,y,-z+1/2'
'x+1/2,-y+1/2,-z+1/2'
'-x+1/2,y+1/2,z+1/2'
'-x,y+1/2,-z'
'x,-y+1/2,z'
loop_
_atom_site_label
_atom_site_type_symbol
_atom_site_fract_x
_atom_site_fract_y
_atom_site_fract_z
Ho1 Ho 0.058 0.250 0.022
Lu1 Lu 0.000 0.000 0.500
O1 O 0.074 0.750 0.353
O2 O 0.191 0.578 0.813

=====

Record 8
# HoLuPd2, single point on PBEsol structure, DFT SCAN
# **Crystal system**: cubic
# **Raw total energy**: -43.507 eV per atom
# **V**: 19.770 A^3/atom
# **Energy relative to the elements**: -1.036 eV/atom
data_HoLuPd2
_symmetry_space_group_name_H-M 'F m -3 m'
_symmetry_Int_Tables_number 225
_symmetry_space_group_name_Hall '-F 4 2 3'
_cell_length_a 6.814
_cell_length_b 6.814
_cell_length_c 6.814
_cell_angle_alpha 90.00
_cell_angle_beta 90.00
_cell_angle_gamma 90.00
loop_
_atom_site_label
_atom_site_type_symbol
_atom_site_fract_x
_atom_site_fract_y
_atom_site_fract_z
Ho1 Ho 0.000 0.000 0.000
Lu1 Lu 0.000 0.000 0.500
Pd1 Pd 0.250 0.250 0.250

=====

Question: V of number 2 (LiHoSn)?
Answer: 22.013 A^3/atom

=====

Question: Look up the V of the sixth one.
Answer: 29.010 A^3/atom